[1]
# PBE Ac3Ni4Au2, relaxed
data_Ac3Ni4Au2
_chemical_formula_sum 'Ac3 Ni4 Au2'
_cell_length_a 6.0766
_cell_length_b 6.0766
_cell_length_c 8.6672
_cell_angle_alpha 103.11
_cell_angle_beta 103.11
_cell_angle_gamma 42.08
_symmetry_space_group_name_H-M 'P 1'
_symmetry_Int_Tables_number 1
loop_
_symmetry_equiv_pos_as_xyz
'x,y,z'
loop_
_atom_site_label
_atom_site_fract_x
_atom_site_fract_y
_atom_site_fract_z
Ac1 0.0000 0.0000 0.0000
Ac2 0.3410 0.3410 0.3284
Ac3 0.6590 0.6590 0.6716
Ni1 0.0533 0.0533 0.4001
Ni2 0.2692 0.2692 0.9595
Ni3 0.7308 0.7308 0.0405
Ni4 0.9467 0.9467 0.5999
Au1 0.3808 0.3808 0.7231
Au2 0.6192 0.6192 0.2769
# Crystal system: monoclinic
# Spin magnetization, μB per cell: 0.0
# Total energy, eV per formula unit: -46.02
# Symmetry: C2/m, No. 12
# Density, Mg/m³: 10.453
# Formation energy, eV per formula unit: -4.019

[2]
# PBE IrRh2Br, relaxed
data_IrRh2Br
_chemical_formula_sum 'Ir1 Rh2 Br1'
_cell_length_a 8.8313
_cell_length_b 8.8313
_cell_length_c 8.8313
_cell_angle_alpha 18.85
_cell_angle_beta 18.85
_cell_angle_gamma 18.85
_symmetry_space_group_name_H-M 'P 1'
_symmetry_Int_Tables_number 1
loop_
_symmetry_equiv_pos_as_xyz
'x,y,z'
loop_
_atom_site_label
_atom_site_fract_x
_atom_site_fract_y
_atom_site_fract_z
Ir1 0.0000 0.0000 0.0000
Rh1 0.2520 0.2520 0.2520
Rh2 0.7480 0.7480 0.7480
Br1 0.5000 0.5000 0.5000
# Crystal system: trigonal
# Spin magnetization, μB per cell: 0.0
# Total energy, eV per formula unit: -23.37
# Symmetry: R-3m, No. 166
# Density, Mg/m³: 12.629
# Formation energy without anion corrections, eV/f.u.: 1.87

[3]
# PBE NdSmMnGa, relaxed
data_NdSmMnGa
_chemical_formula_sum 'Nd1 Sm1 Mn1 Ga1'
_cell_length_a 5.1840
_cell_length_b 5.1840
_cell_length_c 5.1840
_cell_angle_alpha 60.00
_cell_angle_beta 60.00
_cell_angle_gamma 60.00
_symmetry_space_group_name_H-M 'P 1'
_symmetry_Int_Tables_number 1
loop_
_symmetry_equiv_pos_as_xyz
'x,y,z'
loop_
_atom_site_label
_atom_site_fract_x
_atom_site_fract_y
_atom_site_fract_z
Nd1 0.0000 0.0000 0.0000
Sm1 0.5000 0.5000 0.5000
Mn1 0.2500 0.2500 0.2500
Ga1 0.7500 0.7500 0.7500
# Crystal system: cubic
# Spin magnetization, μB per cell: 3.3
# Total energy, eV per formula unit: -22.10
# Symmetry: F-43m, No. 216
# Density, Mg/m³: 7.067
# Formation energy, eV per formula unit: -0.421

[4]
# PBE PmSeI, relaxed
data_PmSeI
_chemical_formula_sum 'Pm1 Se1 I1'
_cell_length_a 5.2071
_cell_length_b 5.2071
_cell_length_c 5.2071
_cell_angle_alpha 60.00
_cell_angle_beta 60.00
_cell_angle_gamma 60.00
_symmetry_space_group_name_H-M 'P 1'
_symmetry_Int_Tables_number 1
loop_
_symmetry_equiv_pos_as_xyz
'x,y,z'
loop_
_atom_site_label
_atom_site_fract_x
_atom_site_fract_y
_atom_site_fract_z
Pm1 0.0000 0.0000 0.0000
Se1 0.7500 0.7500 0.7500
I1 0.2500 0.2500 0.2500
# Crystal system: cubic
# Spin magnetization, μB per cell: 0.0
# Total energy, eV per formula unit: -13.99
# Symmetry: F-43m, No. 216
# Density, Mg/m³: 5.836
# Formation energy without anion corrections, eV/f.u.: -4.21

[5]
# PBE LiHg3Ir, relaxed
data_LiHg3Ir
_chemical_formula_sum 'Li1 Hg3 Ir1'
_cell_length_a 5.2635
_cell_length_b 5.2635
_cell_length_c 5.2635
_cell_angle_alpha 90.00
_cell_angle_beta 90.00
_cell_angle_gamma 90.00
_symmetry_space_group_name_H-M 'P 1'
_symmetry_Int_Tables_number 1
loop_
_symmetry_equiv_pos_as_xyz
'x,y,z'
loop_
_atom_site_label
_atom_site_fract_x
_atom_site_fract_y
_atom_site_fract_z
Li1 0.0000 0.0000 0.0000
Hg1 0.0000 0.5000 0.5000
Hg2 0.5000 0.0000 0.5000
Hg3 0.5000 0.5000 0.0000
Ir1 0.5000 0.5000 0.5000
# Crystal system: cubic
# Spin magnetization, μB per cell: 0.0
# Total energy, eV per formula unit: -10.73
# Symmetry: Pm-3m, No. 221
# Density, Mg/m³: 9.120
# Formation energy, eV per formula unit: 0.951

[6]
# PBE AgAs2BrCl, relaxed
data_AgAs2BrCl
_chemical_formula_sum 'Ag1 As2 Br1 Cl1'
_cell_length_a 5.1088
_cell_length_b 5.1088
_cell_length_c 5.1948
_cell_angle_alpha 90.00
_cell_angle_beta 90.00
_cell_angle_gamma 90.00
_symmetry_space_group_name_H-M 'P 1'
_symmetry_Int_Tables_number 1
loop_
_symmetry_equiv_pos_as_xyz
'x,y,z'
loop_
_atom_site_label
_atom_site_fract_x
_atom_site_fract_y
_atom_site_fract_z
Ag1 0.0000 0.0000 0.0000
As1 0.0000 0.5000 0.0000
As2 0.5000 0.0000 0.0000
Br1 0.0000 0.0000 0.5000
Cl1 0.5000 0.5000 0.5000
# Crystal system: tetragonal
# Spin magnetization, μB per cell: 1.1
# Total energy, eV per formula unit: -12.26
# Symmetry: P4/mmm, No. 123
# Density, Mg/m³: 4.569
# Formation energy without anion corrections, eV/f.u.: 3.41

[7]
# PBE Ta2CoPt, relaxed
data_Ta2CoPt
_chemical_formula_sum 'Ta2 Co1 Pt1'
_cell_length_a 4.9839
_cell_length_b 4.9839
_cell_length_c 4.9839
_cell_angle_alpha 134.35
_cell_angle_beta 134.35
_cell_angle_gamma 66.55
_symmetry_space_group_name_H-M 'P 1'
_symmetry_Int_Tables_number 1
loop_
_symmetry_equiv_pos_as_xyz
'x,y,z'
loop_
_atom_site_label
_atom_site_fract_x
_atom_site_fract_y
_atom_site_fract_z
Ta1 0.0000 0.0000 0.0000
Ta2 0.7500 0.2500 0.5000
Co1 0.2500 0.7500 0.5000
Pt1 0.5000 0.5000 0.0000
# Crystal system: tetragonal
# Spin magnetization, μB per cell: 0.0
# Total energy, eV per formula unit: -37.86
# Symmetry: I-4m2, No. 119
# Density, Mg/m³: 16.414
# Formation energy, eV per formula unit: -1.009

[8]
# PBE Mo2AsPbW, relaxed
data_Mo2AsPbW
_chemical_formula_sum 'Mo2 As1 Pb1 W1'
_cell_length_a 5.0158
_cell_length_b 5.0158
_cell_length_c 5.0273
_cell_angle_alpha 90.00
_cell_angle_beta 90.00
_cell_angle_gamma 90.00
_symmetry_space_group_name_H-M 'P 1'
_symmetry_Int_Tables_number 1
loop_
_symmetry_equiv_pos_as_xyz
'x,y,z'
loop_
_atom_site_label
_atom_site_fract_x
_atom_site_fract_y
_atom_site_fract_z
Mo1 0.0000 0.5000 0.0000
Mo2 0.5000 0.0000 0.0000
As1 0.0000 0.0000 0.5000
Pb1 0.5000 0.5000 0.0000
W1 0.5000 0.5000 0.5000
# Crystal system: tetragonal
# Spin magnetization, μB per cell: 0.0
# Total energy, eV per formula unit: -28.66
# Symmetry: P4/mmm, No. 123
# Density, Mg/m³: 8.637
# Formation energy, eV per formula unit: 14.316

[9]
# PBE Pu2Be4Si3Au, relaxed
data_Pu2Be4Si3Au
_chemical_formula_sum 'Pu2 Be4 Si3 Au1'
_cell_length_a 3.9163
_cell_length_b 3.9163
_cell_length_c 9.7083
_cell_angle_alpha 90.00
_cell_angle_beta 90.00
_cell_angle_gamma 90.00
_symmetry_space_group_name_H-M 'P 1'
_symmetry_Int_Tables_number 1
loop_
_symmetry_equiv_pos_as_xyz
'x,y,z'
loop_
_atom_site_label
_atom_site_fract_x
_atom_site_fract_y
_atom_site_fract_z
Pu1 0.0000 0.5000 0.2359
Pu2 0.5000 0.0000 0.7641
Be1 0.0000 0.0000 0.0000
Be2 0.0000 0.5000 0.6390
Be3 0.5000 0.0000 0.3610
Be4 0.5000 0.5000 0.0000
Si1 0.0000 0.5000 0.8710
Si2 0.5000 0.0000 0.1290
Si3 0.5000 0.5000 0.5000
Au1 0.0000 0.0000 0.5000
# Crystal system: tetragonal
# Spin magnetization, μB per cell: 10.6
# Total energy, eV per formula unit: -66.31
# Symmetry: P-4m2, No. 115
# Density, Mg/m³: 8.981
# Formation energy without anion corrections, eV/f.u.: -3.19